DFT (GGA-PBEsol) results for a geometry-optimized EuHg2 structure.

Cell and atoms, written as CIF:
```
data_EuHg2
_chemical_formula_sum 'Eu1 Hg2'
_symmetry_space_group_name_H-M 'P 1'
_symmetry_Int_Tables_number 1
_cell_length_a 3.479
_cell_length_b 4.969
_cell_length_c 4.969
_cell_angle_alpha 120.00
_cell_angle_beta 90.00
_cell_angle_gamma 90.00
loop_
_symmetry_equiv_pos_as_xyz
'x,y,z'
loop_
_atom_site_label
_atom_site_type_symbol
_atom_site_fract_x
_atom_site_fract_y
_atom_site_fract_z
_atom_site_occupancy
Hg1 Hg 0.000 0.667 0.333 1
Hg2 Hg 0.000 0.333 0.667 1
Eu1 Eu 0.500 0.000 0.000 1
```

Results
As for the density of states at the Fermi level: 2.487 states/eV/atom. As for the crystal system: hexagonal. The mass density is 12.35 g cm⁻³. The uncorrected energy comes out at -13.39 eV/cell. For the energy of formation from the pure elements, the calculation gives -0.57 eV/atom. The space group is P6/mmm (191).